1) {
  "formula": "CsKRb4",
  "functional": "PBE",
  "state": "optimized geometry",
  "space_group": "C2/c, No. 15",
  "dos_ef_per_ev_atom": 0.882,
  "lattice_angstrom": [[6.221, -10.637, 0.000], [6.221, 10.637, 0.000], [-3.181, 0.000, 8.473]],
  "species": ["Cs", "Cs", "K", "K", "Rb", "Rb", "Rb", "Rb", "Rb", "Rb", "Rb", "Rb"],
  "frac_coords": [[0.083, 0.917, 0.750], [0.917, 0.083, 0.250], [0.498, 0.502, 0.750], [0.502, 0.498, 0.250], [0.084, 0.339, 0.876], [0.208, 0.594, 0.455], [0.339, 0.084, 0.376], [0.406, 0.792, 0.045], [0.594, 0.208, 0.955], [0.661, 0.916, 0.624], [0.792, 0.406, 0.545], [0.916, 0.661, 0.124]]
}

=====

2) {
  "formula": "CsKRb4",
  "functional": "PBE",
  "state": "optimized geometry",
  "space_group": "Pm, No. 6",
  "dos_ef_per_ev_atom": 0.804,
  "lattice_angstrom": [[7.284, 0.000, 0.000], [0.000, 7.201, 0.000], [-3.563, 0.000, 10.467]],
  "species": ["Cs", "K", "Rb", "Rb", "Rb", "Rb"],
  "frac_coords": [[0.000, 0.000, 0.000], [0.832, 0.500, 0.664], [0.175, 0.500, 0.351], [0.333, 0.000, 0.666], [0.500, 0.500, 0.000], [0.676, 0.000, 0.351]]
}

=====

3) {
  "formula": "CsKRb4",
  "functional": "PBE",
  "state": "optimized geometry",
  "space_group": "F-43m, No. 216",
  "dos_ef_per_ev_atom": 0.730,
  "lattice_angstrom": [[0.000, 6.578, 6.578], [6.578, 0.000, 6.578], [6.578, 6.578, 0.000]],
  "species": ["Cs", "K", "Rb", "Rb", "Rb", "Rb"],
  "frac_coords": [[0.000, 0.000, 0.000], [0.250, 0.250, 0.250], [0.126, 0.625, 0.625], [0.625, 0.126, 0.625], [0.625, 0.625, 0.126], [0.625, 0.625, 0.625]]
}

=====

Most stable structure: 2)

=====

1) {
  "formula": "Cs2K2Rb",
  "functional": "PBE",
  "state": "optimized geometry",
  "space_group": "I4/mmm, No. 139",
  "dos_ef_per_ev_atom": 1.093,
  "lattice_angstrom": [[-3.015, 3.015, 13.698], [3.015, -3.015, 13.698], [3.015, 3.015, -13.698]],
  "species": ["Cs", "Cs", "K", "K", "Rb"],
  "frac_coords": [[0.103, 0.103, 0.000], [0.897, 0.897, 0.000], [0.250, 0.750, 0.500], [0.750, 0.250, 0.500], [0.500, 0.500, 0.000]]
}

=====

2) {
  "formula": "Cs2K2Rb",
  "functional": "PBE",
  "state": "optimized geometry",
  "space_group": "P4/mbm, No. 127",
  "dos_ef_per_ev_atom": 1.008,
  "lattice_angstrom": [[13.616, 0.000, 0.000], [0.000, 13.616, 0.000], [0.000, 0.000, 5.133]],
  "species": ["Cs", "Cs", "Cs", "Cs", "K", "K", "K", "K", "Rb", "Rb"],
  "frac_coords": [[0.134, 0.366, 0.000], [0.366, 0.866, 0.000], [0.634, 0.134, 0.000], [0.866, 0.634, 0.000], [0.165, 0.665, 0.500], [0.335, 0.165, 0.500], [0.665, 0.835, 0.500], [0.835, 0.335, 0.500], [0.000, 0.000, 0.000], [0.500, 0.500, 0.000]]
}

=====

3) {
  "formula": "Cs2K2Rb",
  "functional": "PBE",
  "state": "optimized geometry",
  "space_group": "P4/mbm, No. 127",
  "dos_ef_per_ev_atom": 0.817,
  "lattice_angstrom": [[12.949, 0.000, 0.000], [0.000, 12.949, 0.000], [0.000, 0.000, 5.672]],
  "species": ["Cs", "Cs", "Cs", "Cs", "K", "K", "K", "K", "Rb", "Rb"],
  "frac_coords": [[0.171, 0.329, 0.000], [0.329, 0.829, 0.000], [0.671, 0.171, 0.000], [0.829, 0.671, 0.000], [0.126, 0.626, 0.500], [0.374, 0.126, 0.500], [0.626, 0.874, 0.500], [0.874, 0.374, 0.500], [0.000, 0.000, 0.500], [0.500, 0.500, 0.500]]
}

=====

Most stable structure: 3)